[1]
VASP calculation (GGA-PBE) on a relaxed structure of Rb2Cr2Ag.

D(E_F)	5.31	states/eV/f.u.
total moment	0.00	μB per formula unit
formation enthalpy at 0 K	0.91	eV per atom
energy above the lowest structure with this stoichiometry	0.000	eV per atom

Cell lengths 3.2772, 3.2772, 12.2445 Å; angles 82.31, 82.31, 90.00 degrees
Last column: nearest neighbours and their distance in Å.
Positions (direct):
Rb: 0.3876 0.3876 0.2249  4 Rb 3.28, 4 Ag 3.56
Rb: 0.6124 0.6124 0.7751  4 Rb 3.28, 4 Ag 3.56
Cr: 0.2500 0.7500 0.5000  4 Cr 2.32
Ag: 0.0000 0.0000 0.0000  4 Ag 3.28, 8 Rb 3.56
Cr: 0.7500 0.2500 0.5000  4 Cr 2.32

=====

[2]
VASP calculation (GGA-PBE) on a relaxed structure of NdZr2Zn.

D(E_F)	3.03	states/eV/f.u.
total moment	0.00	μB per formula unit
formation enthalpy at 0 K	-0.02	eV per atom
energy above the lowest structure with this stoichiometry	0.000	eV per atom

Cell lengths 3.3332, 3.3332, 8.3394 Å; angles 90.00, 90.00, 90.00 degrees
Last column: nearest neighbours and their distance in Å.
Positions (direct):
Zn: 0.5000 0.5000 0.0000  8 Zr 2.91
Zr: 0.0000 0.0000 0.7950  4 Zn 2.91
Nd: 0.5000 0.5000 0.5000  4 Nd 3.33, 8 Zr 3.41
Zr: 0.0000 0.0000 0.2050  4 Zn 2.91

=====

[3]
VASP calculation (GGA-PBE) on a relaxed structure of Li2CuPtN.

D(E_F)	1.88	states/eV/f.u.
total moment	0.00	μB per formula unit
uncorrected formation energy	-130.0	meV/atom

Cell lengths 3.9672, 3.9672, 3.9054 Å; angles 90.00, 90.00, 90.00 degrees
Last column: nearest neighbours and their distance in Å.
Positions (direct):
Li: 0.0000 0.5000 0.0000  2 N 1.98
Cu: 0.5000 0.5000 0.5000  8 Li 2.78, 4 Pt 2.81
Pt: 0.0000 0.0000 0.5000  2 N 1.95
N: 0.0000 0.0000 0.0000  2 Pt 1.95, 4 Li 1.98
Li: 0.5000 0.0000 0.0000  2 N 1.98

=====

[4]
VASP calculation (GGA-PBE) on a relaxed structure of Sr2SbRu.

D(E_F)	5.99	states/eV/f.u.
total moment	0.54	μB per formula unit
uncorrected formation energy	35.3	meV/atom

Cell lengths 5.2040, 5.2040, 5.2040 Å; angles 120.09, 120.09, 89.85 degrees
Last column: nearest neighbours and their distance in Å.
Positions (direct):
Ru: 0.5000 0.5000 0.0000  4 Sb 3.19, 4 Sr 3.19
Sr: 0.0000 0.0000 0.0000  4 Sb 3.19, 4 Sr 3.19
Sr: 0.2500 0.7500 0.5000  4 Ru 3.19, 4 Sr 3.19
Sb: 0.7500 0.2500 0.5000  4 Ru 3.19, 4 Sr 3.19